# 1
# V2PO6

A relaxed V2PO6 crystal (PBE+U, Alexandria via LeMat-Bulk).

Calculated values
Total magnetic moment ... 0.333 μB per atom
Electronic total energy ... -7.60 eV/atom
Space group ... C2/c

Lattice parameters (Å, degrees): 4.0921 7.5487 7.5487 107.45 103.91 103.91
Sites, in units of the cell vectors:
V1 0.6214 0.5482 0.7349
V2 0.8786 0.2651 0.4518
V3 0.3786 0.4518 0.2651
V4 0.1214 0.7349 0.5482
P1 0.2500 0.1765 0.8235
P2 0.7500 0.8235 0.1765
O1 0.6026 0.6887 0.5459
O2 0.8974 0.4541 0.3113
O3 0.3974 0.3113 0.4541
O4 0.1026 0.5459 0.6887
O5 0.0711 0.8445 0.3506
O6 0.4289 0.6494 0.1555
O7 0.9289 0.1555 0.6494
O8 0.5711 0.3506 0.8445
O9 0.8264 0.7735 0.9804
O10 0.6736 0.0196 0.2265
O11 0.1736 0.2265 0.0196
O12 0.3264 0.9804 0.7735

=====

# 2
# V2PO8

A relaxed V2PO8 crystal (PBE+U, Alexandria via LeMat-Bulk).

Calculated values
Total magnetic moment ... 0.096 μB per atom
Electronic total energy ... -6.87 eV/atom
Space group ... C2/m

Lattice parameters (Å, degrees): 4.8602 6.1241 6.1241 80.50 96.10 96.10
Sites, in units of the cell vectors:
V1 0.6590 0.1912 0.1912
V2 0.3410 0.8088 0.8088
P1 0.0000 0.0000 0.0000
O1 0.1386 0.0486 0.7468
O2 0.1386 0.7468 0.0486
O3 0.8614 0.9514 0.2532
O4 0.2855 0.6347 0.6347
O5 0.8614 0.2532 0.9514
O6 0.2921 0.1219 0.1219
O7 0.7079 0.8781 0.8781
O8 0.7145 0.3653 0.3653

=====

# 3
# VPO2

A relaxed VPO2 crystal (PBE+U, Alexandria via LeMat-Bulk).

Calculated values
Total magnetic moment ... 0.216 μB per atom
Electronic total energy ... -6.25 eV/atom
Space group ... I-42d

Lattice parameters (Å, degrees): 5.8094 5.8094 5.8138 60.02 60.02 90.00
Sites, in units of the cell vectors:
P1 0.5000 0.5000 0.0000
P2 0.2500 0.7500 0.5000
O1 0.8764 0.1250 0.2500
O2 0.8736 0.6250 0.2500
O3 0.3750 0.1236 0.7500
O4 0.8750 0.1264 0.7500
V1 0.0000 0.0000 0.0000
V2 0.7500 0.2500 0.5000